# 1
Entry from the Alexandria database: a geometry-optimized ScGe3Te structure (PBE).

Output
Formation energy without anion corrections   0.51 eV/atom
E above lowest polymorph   0.000 eV/atom
E_tot   -20.8 eV/cell
Crystal system   cubic

Structure (CIF):
```
data_ScGe3Te
_cell_length_a 5.208
_cell_length_b 5.208
_cell_length_c 5.208
_cell_angle_alpha 90.00
_cell_angle_beta 90.00
_cell_angle_gamma 90.00
_symmetry_space_group_name_H-M 'P m -3 m'
_symmetry_Int_Tables_number 221
_symmetry_space_group_name_Hall '-P 4 2 3'
loop_
_atom_site_label
_atom_site_type_symbol
_atom_site_fract_x
_atom_site_fract_y
_atom_site_fract_z
Sc1 Sc 0.000 0.000 0.000
Ge1 Ge 0.000 0.000 0.500
Te1 Te 0.500 0.500 0.500
```

***

# 2
Entry from the Alexandria database: a geometry-optimized KBaRe structure (PBE).

Output
E above lowest polymorph   0.233 eV/atom
E_tot   -41.7 eV/cell
Calculated formation energy   5.0 eV per formula unit
Crystal system   cubic

Structure (CIF):
```
data_KBaRe
_cell_length_a 7.761
_cell_length_b 7.761
_cell_length_c 7.761
_cell_angle_alpha 90.00
_cell_angle_beta 90.00
_cell_angle_gamma 90.00
_symmetry_space_group_name_H-M 'F -4 3 m'
_symmetry_Int_Tables_number 216
_symmetry_space_group_name_Hall 'F -4 2 3'
loop_
_atom_site_label
_atom_site_type_symbol
_atom_site_fract_x
_atom_site_fract_y
_atom_site_fract_z
K1 K 0.000 0.000 0.000
Ba1 Ba 0.000 0.000 0.500
Re1 Re 0.250 0.250 0.250
```